A plane-wave DFT calculation with GGA+U was carried out for NaCr2GeO8 after structural relaxation.

Cell lengths 5.1818, 5.1818, 6.9808 Å; angles 90.00, 90.00, 120.00 degrees
Space group P-3 (No. 147)
Unique sites:
Na (0.0000, 0.0000, 0.0000) x1
Cr (0.3333, 0.6667, 0.7397) x2
Ge (0.0000, 0.0000, 0.5000) x1
O (0.0610, 0.3199, 0.6644) x6
O (0.3333, 0.6667, 0.9720) x2

Results
ρ = 3.4 g cm⁻³
energy = -0.4672 Ry per atom
Fermi-level density of states = 4.172 states/eV/f.u.
M_tot = 0.08 μB/atom